Below is crystalline Na2LiAlP2 at its relaxed geometry, with properties calculated at the PBE level.

Summary:
Crystal system: orthorhombic
Formation enthalpy at 0 K: -0.63 eV per atom

a = 5.803 Å, b = 13.497 Å, c = 5.922 Å
α = 90.00°, β = 90.00°, γ = 90.00°
Space group Ibam (No. 72)
Asymmetric unit:
Na: 0.229 0.179 0.000 [8 per cell]
Li: 0.000 0.000 0.250 [4 per cell]
Al: 0.000 0.500 0.250 [4 per cell]
P: 0.226 0.397 0.000 [8 per cell]

=====

Below is crystalline Na2LiAl12Pd3 at its relaxed geometry, with properties calculated at the PBE level.

Summary:
Crystal system: trigonal
Formation enthalpy at 0 K: -0.07 eV per atom

a = 9.3513 Å, b = 9.3513 Å, c = 12.7730 Å
α = 90.00°, β = 90.00°, γ = 120.00°
Space group R-3m (No. 166, hexagonal axes)
Asymmetric unit:
Na: 0.0000 0.0000 0.1002 [6 per cell]
Li: 0.0000 0.0000 0.5000 [3 per cell]
Al: 0.0060 0.5030 0.2004 [18 per cell]
Al: 0.0567 0.5284 0.4033 [18 per cell]
Pd: 0.0000 0.5000 0.0000 [9 per cell]

=====

Below is crystalline NaLiAl2Rh at its relaxed geometry, with properties calculated at the PBE level.

Summary:
Crystal system: tetragonal
Formation enthalpy at 0 K: 0.61 eV per atom

a = 4.506 Å, b = 4.506 Å, c = 4.218 Å
α = 90.00°, β = 90.00°, γ = 90.00°
Space group P4/mmm (No. 123)
Asymmetric unit:
Na: 0.000 0.000 0.000 [1 per cell]
Li: 0.000 0.000 0.500 [1 per cell]
Al: 0.000 0.500 0.500 [2 per cell]
Rh: 0.500 0.500 0.000 [1 per cell]

=====

Below is crystalline Na2LiAlS at its relaxed geometry, with properties calculated at the PBE level.

Summary:
Formation energy from raw total energies: -68 meV/atom
Crystal system: tetragonal

a = 5.481 Å, b = 5.481 Å, c = 4.239 Å
α = 90.00°, β = 90.00°, γ = 90.00°
Space group P4/mmm (No. 123)
Asymmetric unit:
Na: 0.000 0.500 0.000 [2 per cell]
Li: 0.000 0.000 0.000 [1 per cell]
Al: 0.500 0.500 0.500 [1 per cell]
S: 0.000 0.000 0.500 [1 per cell]

=====

Below is crystalline NaLiAl2Se4 at its relaxed geometry, with properties calculated at the PBE level.

Summary:
Formation energy from raw total energies: -1014 meV/atom
Crystal system: tetragonal

a = 5.589 Å, b = 5.589 Å, c = 13.030 Å
α = 90.00°, β = 90.00°, γ = 90.00°
Space group I-42m (No. 121)
Asymmetric unit:
Na: 0.000 0.000 0.000 [2 per cell]
Li: 0.000 0.000 0.500 [2 per cell]
Al: 0.000 0.500 0.250 [4 per cell]
Se: 0.236 0.236 0.359 [8 per cell]

=====

Below is crystalline NaLi2AlSi at its relaxed geometry, with properties calculated at the PBE level.

Summary:
Formation energy from raw total energies: 782 meV/atom
Crystal system: tetragonal

a = 4.529 Å, b = 4.529 Å, c = 5.105 Å
α = 90.00°, β = 90.00°, γ = 90.00°
Space group P4/mmm (No. 123)
Asymmetric unit:
Na: 0.000 0.000 0.000 [1 per cell]
Li: 0.000 0.500 0.000 [2 per cell]
Al: 0.000 0.000 0.500 [1 per cell]
Si: 0.500 0.500 0.500 [1 per cell]

=====

Below is crystalline NaLiSmAl at its relaxed geometry, with properties calculated at the PBE level.

Summary:
Crystal system: cubic
Formation enthalpy at 0 K: 0.00 eV per atom

a = 7.257 Å, b = 7.257 Å, c = 7.257 Å
α = 90.00°, β = 90.00°, γ = 90.00°
Space group F-43m (No. 216)
Asymmetric unit:
Na: 0.000 0.000 0.000 [4 per cell]
Li: 0.250 0.250 0.750 [4 per cell]
Sm: 0.250 0.250 0.250 [4 per cell]
Al: 0.000 0.000 0.500 [4 per cell]

=====

Below is crystalline NaLi2Al2Sn2 at its relaxed geometry, with properties calculated at the PBE level.

Summary:
Crystal system: trigonal
Formation enthalpy at 0 K: -0.19 eV per atom

a = 4.5331 Å, b = 4.5331 Å, c = 26.6470 Å
α = 90.00°, β = 90.00°, γ = 120.00°
Space group R-3m (No. 166, hexagonal axes)
Asymmetric unit:
Na: 0.0000 0.0000 0.0000 [3 per cell]
Li: 0.0000 0.0000 0.1456 [6 per cell]
Al: 0.0000 0.0000 0.4480 [6 per cell]
Sn: 0.0000 0.0000 0.2555 [6 per cell]

=====

Below is crystalline Na2LiTaAl at its relaxed geometry, with properties calculated at the PBE level.

Summary:
Crystal system: tetragonal
Formation enthalpy at 0 K: 1.03 eV per atom

a = 4.346 Å, b = 4.346 Å, c = 5.365 Å
α = 90.00°, β = 90.00°, γ = 90.00°
Space group P4/mmm (No. 123)
Asymmetric unit:
Na: 0.000 0.500 0.000 [2 per cell]
Li: 0.000 0.000 0.000 [1 per cell]
Ta: 0.000 0.000 0.500 [1 per cell]
Al: 0.500 0.500 0.500 [1 per cell]

=====

Below is crystalline NaLiTiAl2 at its relaxed geometry, with properties calculated at the PBE level.

Summary:
Crystal system: tetragonal
Formation enthalpy at 0 K: 0.54 eV per atom

a = 4.562 Å, b = 4.562 Å, c = 4.336 Å
α = 90.00°, β = 90.00°, γ = 90.00°
Space group P4/mmm (No. 123)
Asymmetric unit:
Na: 0.000 0.000 0.000 [1 per cell]
Li: 0.000 0.000 0.500 [1 per cell]
Ti: 0.500 0.500 0.000 [1 per cell]
Al: 0.000 0.500 0.500 [2 per cell]

=====

Below is crystalline NaLiAlTl2 at its relaxed geometry, with properties calculated at the PBE level.

Summary:
Crystal system: tetragonal
Formation enthalpy at 0 K: 0.29 eV per atom

a = 5.108 Å, b = 5.108 Å, c = 5.114 Å
α = 90.00°, β = 90.00°, γ = 90.00°
Space group P4/mmm (No. 123)
Asymmetric unit:
Na: 0.000 0.000 0.000 [1 per cell]
Li: 0.000 0.000 0.500 [1 per cell]
Al: 0.500 0.500 0.000 [1 per cell]
Tl: 0.000 0.500 0.500 [2 per cell]

=====

Below is crystalline NaLiAlZn at its relaxed geometry, with properties calculated at the PBE level.

Summary:
Crystal system: cubic
Formation enthalpy at 0 K: -0.02 eV per atom

a = 6.622 Å, b = 6.622 Å, c = 6.622 Å
α = 90.00°, β = 90.00°, γ = 90.00°
Space group F-43m (No. 216)
Asymmetric unit:
Na: 0.000 0.000 0.000 [4 per cell]
Li: 0.250 0.250 0.250 [4 per cell]
Al: 0.000 0.000 0.500 [4 per cell]
Zn: 0.250 0.250 0.750 [4 per cell]

=====

Below is crystalline NaLiZr2Al at its relaxed geometry, with properties calculated at the PBE level.

Summary:
Crystal system: tetragonal
Formation enthalpy at 0 K: 1.06 eV per atom

a = 5.273 Å, b = 5.273 Å, c = 3.836 Å
α = 90.00°, β = 90.00°, γ = 90.00°
Space group P4/mmm (No. 123)
Asymmetric unit:
Na: 0.000 0.000 0.000 [1 per cell]
Li: 0.000 0.000 0.500 [1 per cell]
Zr: 0.000 0.500 0.000 [2 per cell]
Al: 0.500 0.500 0.500 [1 per cell]

=====

Below is crystalline LiNb2Al2 at its relaxed geometry, with properties calculated at the PBE level.

Summary:
Crystal system: tetragonal
Formation enthalpy at 0 K: 0.01 eV per atom

a = 8.229 Å, b = 8.229 Å, c = 2.809 Å
α = 90.00°, β = 90.00°, γ = 90.00°
Space group P4/mbm (No. 127)
Asymmetric unit:
Li: 0.000 0.000 0.000 [2 per cell]
Nb: 0.115 0.385 0.000 [4 per cell]
Al: 0.179 0.679 0.500 [4 per cell]

=====

Below is crystalline Li2NbAl at its relaxed geometry, with properties calculated at the PBE level.

Summary:
Crystal system: tetragonal
Formation enthalpy at 0 K: 0.57 eV per atom

a = 7.112 Å, b = 7.112 Å, c = 5.320 Å
α = 90.00°, β = 90.00°, γ = 90.00°
Space group I-42d (No. 122)
Asymmetric unit:
Li: 0.231 0.250 0.125 [8 per cell]
Nb: 0.000 0.000 0.500 [4 per cell]
Al: 0.000 0.000 0.000 [4 per cell]

=====

Below is crystalline LiNb2Al at its relaxed geometry, with properties calculated at the PBE level.

Summary:
Crystal system: tetragonal
Formation enthalpy at 0 K: 0.42 eV per atom

a = 7.269 Å, b = 7.269 Å, c = 5.181 Å
α = 90.00°, β = 90.00°, γ = 90.00°
Space group I-42d (No. 122)
Asymmetric unit:
Li: 0.000 0.000 0.000 [4 per cell]
Nb: 0.243 0.250 0.125 [8 per cell]
Al: 0.000 0.000 0.500 [4 per cell]

=====

Below is crystalline LiNbAl3 at its relaxed geometry, with properties calculated at the PBE level.

Summary:
Crystal system: cubic
Formation enthalpy at 0 K: 0.57 eV per atom

a = 5.052 Å, b = 5.052 Å, c = 5.052 Å
α = 90.00°, β = 90.00°, γ = 90.00°
Space group Pm-3m (No. 221)
Asymmetric unit:
Li: 0.000 0.000 0.000 [1 per cell]
Nb: 0.500 0.500 0.500 [1 per cell]
Al: 0.000 0.500 0.500 [3 per cell]

=====

Below is crystalline LiNbAl2 at its relaxed geometry, with properties calculated at the PBE level.

Summary:
Crystal system: trigonal
Formation enthalpy at 0 K: -0.11 eV per atom

a = 2.9224 Å, b = 2.9224 Å, c = 28.0357 Å
α = 90.00°, β = 90.00°, γ = 120.00°
Space group R-3m (No. 166, hexagonal axes)
Asymmetric unit:
Li: 0.0000 0.0000 0.0000 [3 per cell]
Nb: 0.0000 0.0000 0.5000 [3 per cell]
Al: 0.0000 0.0000 0.2489 [6 per cell]

=====

Below is crystalline LiNbAl2 at its relaxed geometry, with properties calculated at the PBE level.

Summary:
Crystal system: tetragonal
Formation enthalpy at 0 K: -0.24 eV per atom

a = 4.704 Å, b = 4.704 Å, c = 2.955 Å
α = 90.00°, β = 90.00°, γ = 90.00°
Space group P4/mmm (No. 123)
Asymmetric unit:
Li: 0.000 0.000 0.000 [1 per cell]
Nb: 0.500 0.500 0.000 [1 per cell]
Al: 0.000 0.500 0.500 [2 per cell]

=====

Below is crystalline LiNb2Al2 at its relaxed geometry, with properties calculated at the PBE level.

Summary:
Crystal system: tetragonal
Formation enthalpy at 0 K: 0.04 eV per atom

a = 6.638 Å, b = 6.638 Å, c = 3.860 Å
α = 90.00°, β = 90.00°, γ = 90.00°
Space group P4/mbm (No. 127)
Asymmetric unit:
Li: 0.000 0.000 0.000 [2 per cell]
Nb: 0.168 0.332 0.500 [4 per cell]
Al: 0.134 0.634 0.000 [4 per cell]

=====

| no. | magnetization (μB/f.u.) | electronic total energy (eV/atom) |
| --- | --- | --- |
| 1 | 0.0 | -3.8180 |
| 2 | 0.0 | -3.6877 |
| 3 | 0.0 | -2.9996 |
| 4 | 0.0 | -2.5520 |
| 5 | 0.0 | -4.0958 |
| 6 | 0.0 | -2.0808 |
| 7 | 0.0 | -2.9230 |
| 8 | 0.0 | -3.1378 |
| 9 | 0.0 | -2.9945 |
| 10 | 0.0 | -3.1829 |
| 11 | 0.0 | -2.0486 |
| 12 | 0.0 | -2.0792 |
| 13 | 0.0 | -3.7506 |
| 14 | 0.0 | -5.8964 |
| 15 | 0.0 | -3.8385 |
| 16 | 0.0 | -6.0332 |
| 17 | 0.0 | -4.0723 |
| 18 | 0.0 | -4.9748 |
| 19 | 0.0 | -5.1066 |
| 20 | 0.0 | -5.8684 |